Entry 1:
## Li5Pd5Au2 (PBE-GGA)

Data for a relaxed structure of Li5Pd5Au2.

a = 14.315 Å, b = 2.798 Å, c = 10.362 Å
α = 90.00°, β = 120.29°, γ = 90.00°
Space group C2/m (No. 12)
Symmetry-distinct sites (fractional):
1 Li 0.000 0.000 0.000
2 Li 0.135 0.000 0.755
3 Li 0.162 0.000 0.502
4 Pd 0.000 0.500 0.500
5 Pd 0.168 0.500 0.006
6 Pd 0.205 0.000 0.260
7 Au 0.033 0.500 0.255

Properties
The value obtained for the total magnetization is 0.000 μB per atom. The value obtained for the formation energy is -4.55 eV per formula unit.



Entry 2:
## Li2PdAu4 (PBE-GGA)

Data for a relaxed structure of Li2PdAu4.

a = 5.165 Å, b = 5.165 Å, c = 10.605 Å
α = 90.00°, β = 90.00°, γ = 90.00°
Space group I4/mmm (No. 139)
Symmetry-distinct sites (fractional):
1 Li 0.000 0.000 0.156
2 Pd 0.000 0.000 0.500
3 Au 0.000 0.500 0.000
4 Au 0.000 0.500 0.250

Properties
The value obtained for the total magnetization is 0.000 μB per atom. The value obtained for the formation energy is -0.51 eV per formula unit.



Entry 3:
## Li3Pd4Au4 (PBE-GGA)

Data for a relaxed structure of Li3Pd4Au4.

a = 2.801 Å, b = 4.028 Å, c = 15.651 Å
α = 97.37°, β = 94.94°, γ = 90.05°
Space group P-1 (No. 2)
Symmetry-distinct sites (fractional):
1 Li 0.000 0.000 0.000
2 Li 0.364 0.363 0.727
3 Pd 0.092 0.092 0.184
4 Pd 0.273 0.273 0.546
5 Au 0.181 0.181 0.362
6 Au 0.453 0.453 0.907

Properties
The value obtained for the total magnetization is 0.000 μB per atom. The value obtained for the formation energy is -3.68 eV per formula unit.



Entry 4:
## LiPd4Au2 (PBE-GGA)

Data for a relaxed structure of LiPd4Au2.

a = 5.641 Å, b = 6.275 Å, c = 6.892 Å
α = 68.70°, β = 89.22°, γ = 77.09°
Space group P1 (No. 1)
Symmetry-distinct sites (fractional):
1 Li 0.000 0.000 0.000
2 Li 0.426 0.285 0.567
3 Pd 0.070 0.713 0.425
4 Pd 0.214 0.144 0.287
5 Pd 0.281 0.862 0.710
6 Pd 0.350 0.576 0.138
7 Pd 0.641 0.430 0.854
8 Pd 0.787 0.861 0.713
9 Pd 0.858 0.574 0.142
10 Pd 0.932 0.283 0.574
11 Au 0.140 0.426 0.855
12 Au 0.500 0.003 0.990
13 Au 0.567 0.707 0.430
14 Au 0.714 0.148 0.285

Properties
The value obtained for the total magnetization is 0.000 μB per atom. The value obtained for the formation energy is -1.46 eV per formula unit. The energy above the most stable polymorph in this dataset comes out at 0 meV/atom.



What did the first record say?
## Li5Pd5Au2 (PBE-GGA)

Data for a relaxed structure of Li5Pd5Au2.

a = 14.315 Å, b = 2.798 Å, c = 10.362 Å
α = 90.00°, β = 120.29°, γ = 90.00°
Space group C2/m (No. 12)
Symmetry-distinct sites (fractional):
1 Li 0.000 0.000 0.000
2 Li 0.135 0.000 0.755
3 Li 0.162 0.000 0.502
4 Pd 0.000 0.500 0.500
5 Pd 0.168 0.500 0.006
6 Pd 0.205 0.000 0.260
7 Au 0.033 0.500 0.255

Properties
The value obtained for the total magnetization is 0.000 μB per atom. The value obtained for the formation energy is -4.55 eV per formula unit.